Computed, not measured: a relaxed PbS2I crystal at the PBE level of DFT.

abc: 9.5235 9.5235 9.5235
angles: 22.93 22.93 22.93
Last column: nearest neighbours and their distance in Å.
Positions (direct):
I (0.5000, 0.5000, 0.5000)  6 S 2.92
Pb (0.0000, 0.0000, 0.0000)  2 S 2.70
S (0.0972, 0.0972, 0.0972)  1 Pb 2.70, 3 I 2.92
S (0.9028, 0.9028, 0.9028)  1 Pb 2.70, 3 I 2.92

Values from the calculation:
Density: 5.75 Mg/m³
Crystal system: trigonal
DOS(E_F): 0.78 states/eV/atom
Space-group type: No. 166
Total moment: 0.000 μB per atom
E_form (uncorrected): 0.620 eV/atom